(1)
La2NiAg: PBEsol geometry, SCAN.

a = 3.5742 Å, b = 3.5742 Å, c = 7.3696 Å
α = 90.00°, β = 90.00°, γ = 90.00°
Atoms (fractional coordinates):
1 La 0.0000 0.0000 0.2217
2 La 0.0000 0.0000 0.7783
3 Ni 0.5000 0.5000 0.0000
4 Ag 0.5000 0.5000 0.5000

- uncorrected energy (eV per atom) = -33.6897
- density (g/cm³) = 7.838
- calculated volume (Å³ per cell) = 94


(2)
La2Ni2Ag: PBEsol geometry, SCAN.

a = 3.8235 Å, b = 7.3423 Å, c = 7.3423 Å
α = 90.00°, β = 90.00°, γ = 90.00°
Atoms (fractional coordinates):
1 La 0.5000 0.6772 0.8228
2 La 0.5000 0.1772 0.6772
3 La 0.5000 0.8228 0.3228
4 La 0.5000 0.3228 0.1772
5 Ni 0.0000 0.1197 0.3803
6 Ni 0.0000 0.6197 0.1197
7 Ni 0.0000 0.3803 0.8803
8 Ni 0.0000 0.8803 0.6197
9 Ag 0.0000 0.5000 0.5000
10 Ag 0.0000 0.0000 0.0000

- uncorrected energy (eV per atom) = -30.2660
- ΔE to the lowest computed polymorph (kJ/mol of formula units) = 0
- density (g/cm³) = 8.105
- calculated volume (Å³ per cell) = 206


(3)
La2Ni2Ag: PBEsol geometry, SCAN.

a = 5.3423 Å, b = 5.3488 Å, c = 5.3423 Å
α = 60.04°, β = 90.00°, γ = 119.96°
Atoms (fractional coordinates):
1 Ni 0.6534 0.3067 0.3466
2 Ni 0.3466 0.6933 0.6534
3 La 0.7500 0.5000 0.7500
4 La 0.2500 0.5000 0.2500
5 Ag 0.0000 0.0000 0.0000

- uncorrected energy (eV per atom) = -30.1933
- ΔE to the lowest computed polymorph (kJ/mol of formula units) = 35
- density (g/cm³) = 7.729
- calculated volume (Å³ per cell) = 108


(4)
La2NiAg: PBEsol geometry, SCAN.

a = 3.9282 Å, b = 4.5999 Å, c = 5.8003 Å
α = 90.00°, β = 109.79°, γ = 90.00°
Atoms (fractional coordinates):
1 Ag 0.5508 0.5000 0.1017
2 La 0.9846 0.0000 0.9692
3 La 0.2624 0.5000 0.5247
4 Ni 0.6976 0.0000 0.3952

- uncorrected energy (eV per atom) = -33.6841
- density (g/cm³) = 7.483
- calculated volume (Å³ per cell) = 99


(5)
LaNi4Ag: PBEsol geometry, SCAN.

a = 4.9525 Å, b = 4.9525 Å, c = 4.9525 Å
α = 60.00°, β = 60.00°, γ = 60.00°
Atoms (fractional coordinates):
1 Ni 0.1279 0.6240 0.6240
2 Ni 0.6240 0.6240 0.6240
3 Ni 0.6240 0.1279 0.6240
4 Ni 0.6240 0.6240 0.1279
5 La 0.0000 0.0000 0.0000
6 Ag 0.2500 0.2500 0.2500

- uncorrected energy (eV per atom) = -23.3348
- density (g/cm³) = 9.310
- calculated volume (Å³ per cell) = 86


(6)
La2NiAg: PBEsol geometry, SCAN.

a = 3.6146 Å, b = 5.1367 Å, c = 5.1367 Å
α = 90.00°, β = 90.00°, γ = 90.00°
Atoms (fractional coordinates):
1 Ni 0.5000 0.5000 0.5000
2 Ag 0.5000 0.0000 0.0000
3 La 0.0000 0.0000 0.5000
4 La 0.0000 0.5000 0.0000

- uncorrected energy (eV per atom) = -33.6388
- density (g/cm³) = 7.737
- calculated volume (Å³ per cell) = 95


(7)
La2NiAgPb: PBEsol geometry, SCAN.

a = 5.0202 Å, b = 5.6760 Å, c = 5.6760 Å
α = 90.00°, β = 90.00°, γ = 90.00°
Atoms (fractional coordinates):
1 Ag 0.0000 0.0000 0.0000
2 La 0.0000 0.5000 0.0000
3 La 0.0000 0.0000 0.5000
4 Pb 0.5000 0.0000 0.0000
5 Ni 0.5000 0.5000 0.5000

- uncorrected energy (eV per atom) = -41.4371
- density (g/cm³) = 6.690
- calculated volume (Å³ per cell) = 162


(8)
La2NiAgS: PBEsol geometry, SCAN.

a = 4.6425 Å, b = 5.1572 Å, c = 5.1572 Å
α = 90.00°, β = 90.00°, γ = 90.00°
Atoms (fractional coordinates):
1 Ni 0.0000 0.0000 0.0000
2 S 0.5000 0.5000 0.5000
3 La 0.0000 0.5000 0.0000
4 La 0.0000 0.0000 0.5000
5 Ag 0.5000 0.0000 0.0000

- uncorrected formation energy (meV/atom) = -638.4
- uncorrected energy (eV per atom) = -29.3141
- density (g/cm³) = 6.407
- calculated volume (Å³ per cell) = 123


Repeat the first record exactly.
La2NiAg: PBEsol geometry, SCAN.

a = 3.5742 Å, b = 3.5742 Å, c = 7.3696 Å
α = 90.00°, β = 90.00°, γ = 90.00°
Atoms (fractional coordinates):
1 La 0.0000 0.0000 0.2217
2 La 0.0000 0.0000 0.7783
3 Ni 0.5000 0.5000 0.0000
4 Ag 0.5000 0.5000 0.5000

- uncorrected energy (eV per atom) = -33.6897
- density (g/cm³) = 7.838
- calculated volume (Å³ per cell) = 94